Computed, not measured: crystalline Li3Np3ScS8 at its relaxed geometry at the PBE level of DFT.

Unit cell a=7.7945 b=7.7944 c=7.5844 alpha=120.93 beta=90.00 gamma=120.00
Fractional positions:
Np (0.5000, 0.0000, 0.5000)
Np (0.5000, 0.5000, 0.5000)
Np (0.0000, 0.5000, 0.5000)
Li (0.5000, 0.5000, 0.0000)
Li (0.0000, 0.0000, 0.0000)
Li (0.0000, 0.5000, 0.0000)
S (0.7600, 0.5200, 0.2601)
S (0.7600, 0.0000, 0.7399)
S (0.7600, 0.0001, 0.2601)
S (0.2400, 0.4800, 0.7399)
S (0.2400, 0.0000, 0.2601)
S (0.2400, 0.9999, 0.7399)
S (0.7505, 0.5010, 0.7514)
S (0.2495, 0.4990, 0.2486)
Sc (0.0000, 0.0000, 0.5000)

Summary:
Space group: No. 166
Formation energy without anion corrections, eV per atom: -1.451